Here is Sn3WO6 after structural relaxation from Alexandria. Energies are from PBE with a Hubbard U.

Values from the calculation:
mass density: 5.92 g/cm3
E: -6.469 eV/atom
DOS at the Fermi energy: 0.0 states/eV per cell

Cell lengths 7.814, 7.814, 14.168 Å; angles 70.67, 70.67, 63.56 degrees
Atoms (fractional coordinates):
O1 0.423 0.705 0.617
Sn1 0.271 0.408 0.381
O2 0.574 0.796 0.963
O3 0.349 0.078 0.443
Sn2 0.408 0.271 0.881
W1 0.443 0.705 0.911
W2 0.295 0.557 0.589
Sn3 0.040 0.797 0.114
Sn4 0.008 0.325 0.118
O4 0.651 0.922 0.557
O5 0.823 0.505 0.279
O6 0.922 0.651 0.057
O7 0.505 0.823 0.779
Sn5 0.992 0.675 0.882
O8 0.442 0.644 0.423
Sn6 0.203 0.960 0.386
O9 0.644 0.442 0.923
O10 0.177 0.495 0.721
Sn7 0.325 0.008 0.618
O11 0.426 0.204 0.037
Sn8 0.675 0.992 0.382
O12 0.103 0.815 0.544
Sn9 0.797 0.040 0.614
O13 0.204 0.426 0.537
O14 0.705 0.423 0.117
Sn10 0.729 0.592 0.619
W3 0.557 0.295 0.089
O15 0.558 0.356 0.577
O16 0.295 0.577 0.883
O17 0.356 0.558 0.077
Sn11 0.960 0.203 0.886
O18 0.078 0.349 0.943
O19 0.185 0.897 0.956
O20 0.495 0.177 0.221
Sn12 0.592 0.729 0.119
O21 0.815 0.103 0.044
W4 0.705 0.443 0.411
O22 0.577 0.295 0.383
O23 0.897 0.185 0.456
O24 0.796 0.574 0.463